## Pa2CdMoO8 (PBE with a Hubbard U)

Data for a relaxed structure of Pa2CdMoO8.

Unit cell a=5.320 b=5.320 c=6.594 alpha=113.79 beta=113.79 gamma=90.00
Each line ends with the local moment (μB).
Atoms (fractional coordinates):
1 Pa 0.500 0.500 0.000  0.04
2 Pa 0.250 0.750 0.500  0.04
3 Cd 0.000 0.000 0.000  0.01
4 Mo 0.750 0.250 0.500  1.87
5 O 0.859 0.905 0.290  0.01
6 O 0.431 0.385 0.290  0.01
7 O 0.608 0.651 0.770  -0.01
8 O 0.162 0.118 0.770  -0.01
9 O 0.882 0.392 0.230  -0.01
10 O 0.349 0.838 0.230  -0.01
11 O 0.095 0.569 0.710  0.01
12 O 0.615 0.141 0.710  0.01

## Properties
The value obtained for the total energy is -0.60496 Ry/atom. The calculation puts the magnetic moment at 2.00 μB/cell. Its space group is No. 82.